[1]
This record from the Alexandria database describes an optimized crystal structure of HoZn10Ni2. The functional is GGA-PBE.

Results
As for the total energy: -2.471 eV per atom. The value obtained for the relative energy among the computed polymorphs is 0.000 eV/f.u. For the calculated formation energy, the calculation gives -5.74 kcal/mol of atoms. Its space group is No. 63.

Cell: 6.7455 6.7455 8.6511 Å, 90.00 90.00 98.76°
Fractional positions:
Ho 0.8727 0.1273 0.7500
Ho 0.1273 0.8727 0.2500
Zn 0.4015 0.1403 0.7500
Zn 0.5985 0.8597 0.2500
Zn 0.8597 0.5985 0.7500
Zn 0.1403 0.4015 0.2500
Zn 0.5254 0.7805 0.7500
Zn 0.4746 0.2195 0.2500
Zn 0.2195 0.4746 0.7500
Zn 0.7805 0.5254 0.2500
Zn 0.8486 0.1514 0.4010
Zn 0.1514 0.8486 0.9010
Zn 0.8486 0.1514 0.0990
Zn 0.1514 0.8486 0.5990
Zn 0.6249 0.3751 0.9567
Zn 0.3751 0.6249 0.4567
Zn 0.6249 0.3751 0.5433
Zn 0.3751 0.6249 0.0433
Zn 0.7731 0.7731 0.0000
Zn 0.2269 0.2269 0.5000
Zn 0.2269 0.2269 0.0000
Zn 0.7731 0.7731 0.5000
Ni 0.5000 0.0000 0.0000
Ni 0.5000 0.0000 0.5000
Ni 0.0000 0.5000 0.5000
Ni 0.0000 0.5000 0.0000

---

[2]
This record from the Alexandria database describes an optimized crystal structure of HoZn10Ni2. The functional is GGA-PBE.

Results
As for the total energy: -2.448 eV per atom. The value obtained for the relative energy among the computed polymorphs is 0.294 eV/f.u. For the calculated formation energy, the calculation gives -5.22 kcal/mol of atoms. Its space group is No. 69.

Cell: 5.0052 6.6981 6.7720 Å, 82.06 68.31 68.06°
Fractional positions:
Ho 0.0000 0.0000 0.0000
Zn 0.3468 0.6377 0.6687
Zn 0.6532 0.3623 0.3313
Zn 0.9845 0.3623 0.6687
Zn 0.0155 0.6377 0.3313
Zn 0.0000 0.0000 0.5000
Zn 0.5000 0.0000 0.5000
Zn 0.2836 0.2240 0.2088
Zn 0.7164 0.7760 0.7912
Zn 0.5076 0.7760 0.2088
Zn 0.4924 0.2240 0.7912
Ni 0.0000 0.5000 0.0000
Ni 0.5000 0.5000 0.0000

---

[3]
This record from the Alexandria database describes an optimized crystal structure of HoZn6Ni6. The functional is GGA-PBE.

Results
As for the total energy: -3.910 eV per atom. For the calculated formation energy, the calculation gives -6.96 kcal/mol of atoms. Its space group is No. 71.

Cell: 4.9451 6.4760 6.4760 Å, 79.87 67.55 67.55°
Fractional positions:
Ho 0.0000 0.0000 0.0000
Zn 0.3501 0.6499 0.6499
Zn 0.6499 0.3501 0.3501
Zn 0.0000 0.3422 0.6578
Zn 0.0000 0.6578 0.3422
Zn 0.2999 0.2001 0.2001
Zn 0.7001 0.7999 0.7999
Ni 0.0000 0.5000 0.0000
Ni 0.5000 0.5000 0.0000
Ni 0.0000 0.0000 0.5000
Ni 0.5000 0.0000 0.5000
Ni 0.5000 0.7707 0.2293
Ni 0.5000 0.2293 0.7707

---

[4]
This record from the Alexandria database describes an optimized crystal structure of Ho2Zn5Ni5. The functional is GGA-PBE.

Results
As for the total energy: -4.054 eV per atom. The value obtained for the relative energy among the computed polymorphs is 0.509 eV/f.u. For the calculated formation energy, the calculation gives -8.11 kcal/mol of atoms. Its space group is No. 47.

Cell: 3.9826 5.1317 8.8690 Å, 90.00 90.00 90.00°
Fractional positions:
Ho 0.0000 0.5000 0.0000
Ho 0.0000 0.0000 0.5000
Zn 0.0000 0.5000 0.3329
Zn 0.0000 0.0000 0.8251
Zn 0.0000 0.0000 0.1749
Zn 0.0000 0.5000 0.6671
Zn 0.5000 0.0000 0.0000
Ni 0.5000 0.5000 0.5000
Ni 0.5000 0.7490 0.2532
Ni 0.5000 0.2510 0.7468
Ni 0.5000 0.2510 0.2532
Ni 0.5000 0.7490 0.7468

---

[5]
This record from the Alexandria database describes an optimized crystal structure of Ho3Zn2Ni7. The functional is GGA-PBE.

Results
As for the total energy: -5.181 eV per atom. For the calculated formation energy, the calculation gives -10.43 kcal/mol of atoms. Its space group is No. 166.

Cell: 5.0961 5.0961 8.4949 Å, 72.55 72.55 60.00°
Fractional positions:
Ho 0.0000 0.0000 0.0000
Ho 0.8607 0.8607 0.4180
Ho 0.1393 0.1393 0.5820
Zn 0.6667 0.6667 0.0000
Zn 0.3333 0.3333 0.0000
Ni 0.5000 0.5000 0.5000
Ni 0.9171 0.4161 0.2507
Ni 0.4161 0.9171 0.2507
Ni 0.4161 0.4161 0.2507
Ni 0.0829 0.5839 0.7493
Ni 0.5839 0.5839 0.7493
Ni 0.5839 0.0829 0.7493

---

[6]
This record from the Alexandria database describes an optimized crystal structure of HoZn4Ni8. The functional is GGA-PBE.

Results
As for the total energy: -4.510 eV per atom. For the calculated formation energy, the calculation gives -4.80 kcal/mol of atoms. Its space group is No. 139.

Cell: 4.8933 6.3575 6.3575 Å, 81.48 67.37 67.37°
Fractional positions:
Ho 0.0000 0.0000 0.0000
Zn 0.0000 0.0000 0.5000
Zn 0.5000 0.0000 0.5000
Zn 0.0000 0.5000 0.0000
Zn 0.5000 0.5000 0.0000
Ni 0.0000 0.3562 0.6438
Ni 0.0000 0.6438 0.3562
Ni 0.3562 0.6438 0.6438
Ni 0.6438 0.3562 0.3562
Ni 0.5000 0.7761 0.2239
Ni 0.5000 0.2239 0.7761
Ni 0.2761 0.2239 0.2239
Ni 0.7239 0.7761 0.7761

---

[7]
This record from the Alexandria database describes an optimized crystal structure of Ho4Zn5Ni2. The functional is GGA-PBE.

Results
As for the total energy: -3.654 eV per atom. For the calculated formation energy, the calculation gives -8.27 kcal/mol of atoms. Its space group is No. 10.

Cell: 3.6188 6.9578 8.7895 Å, 93.87 90.00 90.00°
Fractional positions:
Ho 0.5000 0.7572 0.5574
Ho 0.5000 0.1709 0.8598
Ho 0.5000 0.2428 0.4426
Ho 0.5000 0.8291 0.1402
Zn 0.0000 0.5586 0.3054
Zn 0.0000 0.1933 0.1563
Zn 0.0000 0.5000 0.0000
Zn 0.0000 0.8067 0.8437
Zn 0.0000 0.4414 0.6946
Ni 0.0000 0.0648 0.6368
Ni 0.0000 0.9352 0.3632

---

[8]
This record from the Alexandria database describes an optimized crystal structure of Ho2ZnNi. The functional is GGA-PBE.

Results
As for the total energy: -3.980 eV per atom. The value obtained for the relative energy among the computed polymorphs is 1.847 eV/f.u. For the calculated formation energy, the calculation gives 1.68 kcal/mol of atoms. Its space group is No. 166.

Cell: 3.8790 3.8790 9.3203 Å, 77.99 77.99 60.00°
Fractional positions:
Ni 0.5000 0.5000 0.5000
Zn 0.0000 0.0000 0.0000
Ho 0.1138 0.1138 0.6585
Ho 0.8862 0.8862 0.3415

---

[9]
This record from the Alexandria database describes an optimized crystal structure of Ho2Zn2Ni15. The functional is GGA-PBE.

Results
As for the total energy: -5.425 eV per atom. For the calculated formation energy, the calculation gives -5.65 kcal/mol of atoms. Its space group is No. 166.

Cell: 6.2874 6.2874 6.2874 Å, 82.69 82.69 82.69°
Each line ends with the local moment (μB).
Fractional positions:
Ho 0.3464 0.3464 0.3464  -0.07
Ho 0.6536 0.6536 0.6536  -0.07
Zn 0.1000 0.1000 0.1000  -0.02
Zn 0.9000 0.9000 0.9000  -0.02
Ni 0.5000 0.0000 0.0000  0.30
Ni 0.0000 0.0000 0.5000  0.30
Ni 0.0000 0.5000 0.0000  0.30
Ni 0.0000 0.7006 0.2994  0.28
Ni 0.7006 0.2994 0.0000  0.28
Ni 0.2994 0.0000 0.7006  0.28
Ni 0.2994 0.7006 0.0000  0.28
Ni 0.7006 0.0000 0.2994  0.28
Ni 0.0000 0.2994 0.7006  0.28
Ni 0.1553 0.6543 0.6543  0.29
Ni 0.6543 0.6543 0.1553  0.29
Ni 0.6543 0.1553 0.6543  0.29
Ni 0.8447 0.3457 0.3457  0.29
Ni 0.3457 0.3457 0.8447  0.29
Ni 0.3457 0.8447 0.3457  0.29

---

[10]
This record from the Alexandria database describes an optimized crystal structure of Ho3ZnNi3. The functional is GGA-PBE.

Results
As for the total energy: -5.093 eV per atom. The value obtained for the relative energy among the computed polymorphs is 0.000 eV/f.u. For the calculated formation energy, the calculation gives -10.86 kcal/mol of atoms. Its space group is No. 63.

Cell: 4.1470 5.3072 12.9556 Å, 90.00 90.00 113.00°
Fractional positions:
Ho 0.2049 0.4098 0.8959
Ho 0.7951 0.5902 0.1041
Ho 0.2049 0.4098 0.6041
Ho 0.7951 0.5902 0.3959
Ho 0.4864 0.9728 0.7500
Ho 0.5136 0.0272 0.2500
Zn 0.5000 0.0000 0.0000
Zn 0.5000 0.0000 0.5000
Ni 0.9158 0.8316 0.9094
Ni 0.0842 0.1684 0.0906
Ni 0.9158 0.8316 0.5906
Ni 0.0842 0.1684 0.4094
Ni 0.7781 0.5563 0.7500
Ni 0.2219 0.4437 0.2500

---

[11]
This record from the Alexandria database describes an optimized crystal structure of HoZnNi. The functional is GGA-PBE.

Results
As for the total energy: -4.190 eV per atom. For the calculated formation energy, the calculation gives -7.19 kcal/mol of atoms. Its space group is No. 107.

Cell: 3.3606 3.3606 5.2546 Å, 108.65 108.65 90.00°
Fractional positions:
Ni 0.2650 0.2650 0.5301
Zn 0.6423 0.6423 0.2846
Ho 0.9427 0.9427 0.8853

---

[12]
This record from the Alexandria database describes an optimized crystal structure of Ho11Zn9Ni4. The functional is GGA-PBE.

Results
As for the total energy: -3.937 eV per atom. For the calculated formation energy, the calculation gives -9.17 kcal/mol of atoms. Its space group is No. 65.

Cell: 3.5184 12.4164 12.4164 Å, 113.03 90.00 90.00°
Fractional positions:
Ho 0.0000 0.5862 0.9262
Ho 0.0000 0.4138 0.0738
Ho 0.0000 0.9262 0.5862
Ho 0.0000 0.0738 0.4138
Ho 0.0000 0.6280 0.3720
Ho 0.0000 0.3720 0.6280
Ho 0.0000 0.8331 0.1669
Ho 0.0000 0.1669 0.8331
Ho 0.0000 0.0000 0.0000
Ho 0.0000 0.6981 0.6981
Ho 0.0000 0.3019 0.3019
Zn 0.5000 0.6324 0.1634
Zn 0.5000 0.3676 0.8366
Zn 0.5000 0.1634 0.6324
Zn 0.5000 0.8366 0.3676
Zn 0.5000 0.7833 0.9257
Zn 0.5000 0.2167 0.0743
Zn 0.5000 0.9257 0.7833
Zn 0.5000 0.0743 0.2167
Zn 0.5000 0.5000 0.5000
Ni 0.5000 0.5516 0.7511
Ni 0.5000 0.4484 0.2489
Ni 0.5000 0.7511 0.5516
Ni 0.5000 0.2489 0.4484

---

What is the formula in the third record? HoZn6Ni6